The following is a PBE-GGA calculation of crystalline Y6Tl5Rh at its relaxed geometry, from Alexandria.

Computed properties:
electronic total energy = -5.257 eV/atom
formation enthalpy at 0 K = -0.426 eV/atom
volume = 316 Å³/cell
density of states at the Fermi level = 9.15 states/eV per cell

a b c (Å): 5.3097 7.5648 9.1174
angles (deg): 114.51 106.96 90.00
With the nearest neighbours (Å) after each atom.
Positions (direct):
Rh (0.0000, 0.0000, 0.0000)  8 Y 3.02-3.17
Tl (0.6647, 0.6648, 0.3296)  8 Y 3.31-3.33, 2 Tl 3.63
Tl (0.6778, 0.1778, 0.3556)  8 Y 3.21-3.30
Y (0.8444, 0.0787, 0.6888)  1 Rh 3.02, 7 Tl 3.17-3.33
Tl (0.0000, 0.5000, 0.0000)  8 Y 3.17-3.36
Tl (0.3222, 0.8222, 0.6444)  8 Y 3.21-3.30
Y (0.8444, 0.6101, 0.6888)  1 Rh 3.02, 7 Tl 3.17-3.33
Tl (0.3353, 0.3352, 0.6704)  8 Y 3.31-3.33, 2 Tl 3.63
Y (0.5000, 0.7715, 0.0000)  2 Rh 3.17, 6 Tl 3.29-3.36, 1 Y 3.46
Y (0.5000, 0.2285, 0.0000)  2 Rh 3.17, 6 Tl 3.29-3.36, 1 Y 3.46
Y (0.1556, 0.9213, 0.3112)  1 Rh 3.02, 7 Tl 3.17-3.33
Y (0.1556, 0.3899, 0.3112)  1 Rh 3.02, 7 Tl 3.17-3.33